# 1
Density functional theory data (GGA-PBE) for an optimized crystal structure of Er7PI12.

Structure (CIF):
```
data_Er7PI12
_chemical_formula_sum 'Er21 P3 I36'
_cell_length_a 15.5517
_cell_length_b 15.5517
_cell_length_c 10.3078
_cell_angle_alpha 90.00
_cell_angle_beta 90.00
_cell_angle_gamma 120.00
_space_group_name_H-M_alt 'R -3'
_space_group_IT_number 148
_space_group_name_Hall '-R 3'
loop_
_atom_site_label
_atom_site_fract_x
_atom_site_fract_y
_atom_site_fract_z
Er1 0.0000 0.0000 0.0000
Er2 0.0436 0.8873 0.3575
P1 0.0000 0.0000 0.5000
I1 0.0233 0.4373 0.1635
I2 0.0509 0.8698 0.8348
```

Formation energy (no corrections)   -25.73 eV/f.u.
Size of the total moment   0.000 μB/cell



# 2
Density functional theory data (GGA-PBE) for an optimized crystal structure of ErPI.

Structure (CIF):
```
data_ErPI
_chemical_formula_sum 'Er2 P2 I2'
_cell_length_a 3.961
_cell_length_b 4.975
_cell_length_c 11.592
_cell_angle_alpha 78.21
_cell_angle_beta 81.13
_cell_angle_gamma 67.64
_space_group_name_H-M_alt 'P -1'
_space_group_IT_number 2
_space_group_name_Hall '-P 1'
loop_
_atom_site_label
_atom_site_fract_x
_atom_site_fract_y
_atom_site_fract_z
Er1 0.173 0.296 0.375
P1 0.485 0.688 0.428
I1 0.205 0.799 0.815
```

Formation energy (no corrections)   -3.54 eV/f.u.
Size of the total moment   0.000 μB/cell
E above lowest polymorph   0 kJ/mol of formula units



# 3
Density functional theory data (GGA-PBE) for an optimized crystal structure of Er3PI3.

Structure (CIF):
```
data_Er3PI3
_chemical_formula_sum 'Er18 P6 I18'
_cell_length_a 7.0058
_cell_length_b 7.0058
_cell_length_c 33.7109
_cell_angle_alpha 90.00
_cell_angle_beta 90.00
_cell_angle_gamma 120.00
_space_group_name_H-M_alt 'R -3'
_space_group_IT_number 148
_space_group_name_Hall '-R 3'
loop_
_atom_site_label
_atom_site_fract_x
_atom_site_fract_y
_atom_site_fract_z
Er1 0.0000 0.3402 0.4572
P1 0.0000 0.0000 0.1667
I1 0.0000 0.3317 0.6031
```

Formation energy (no corrections)   -9.07 eV/f.u.
Size of the total moment   0.002 μB/cell



# 4
Density functional theory data (GGA-PBE) for an optimized crystal structure of Er4PI5.

Structure (CIF):
```
data_Er4PI5
_chemical_formula_sum 'Er8 P2 I10'
_cell_length_a 18.913
_cell_length_b 4.091
_cell_length_c 8.635
_cell_angle_alpha 90.00
_cell_angle_beta 102.64
_cell_angle_gamma 90.00
_space_group_name_H-M_alt 'C 1 2/m 1'
_space_group_IT_number 12
_space_group_name_Hall '-C 2y'
loop_
_atom_site_label
_atom_site_fract_x
_atom_site_fract_y
_atom_site_fract_z
Er1 0.001 0.000 0.297
Er2 0.141 0.500 0.570
P1 0.000 0.500 0.500
I1 0.000 0.500 0.000
I2 0.165 0.000 0.837
I3 0.171 0.000 0.327
```

Formation energy (no corrections)   -12.69 eV/f.u.
Size of the total moment   0.000 μB/cell



# 5
Density functional theory data (GGA-PBE) for an optimized crystal structure of ErPI.

Structure (CIF):
```
data_ErPI
_chemical_formula_sum 'Er2 P2 I2'
_cell_length_a 4.810
_cell_length_b 5.506
_cell_length_c 9.595
_cell_angle_alpha 77.06
_cell_angle_beta 76.26
_cell_angle_gamma 89.98
_space_group_name_H-M_alt 'P -1'
_space_group_IT_number 2
_space_group_name_Hall '-P 1'
loop_
_atom_site_label
_atom_site_fract_x
_atom_site_fract_y
_atom_site_fract_z
Er1 0.219 0.222 0.066
P1 0.215 0.716 0.075
I1 0.068 0.878 0.367
```

Formation energy (no corrections)   -2.50 eV/f.u.
Size of the total moment   0.000 μB/cell
E above lowest polymorph   100 kJ/mol of formula units



# 6
Density functional theory data (GGA-PBE) for an optimized crystal structure of TbErPI.

Structure (CIF):
```
data_TbErPI
_chemical_formula_sum 'Tb3 Er3 P3 I3'
_cell_length_a 4.0447
_cell_length_b 4.0447
_cell_length_c 22.2275
_cell_angle_alpha 90.00
_cell_angle_beta 90.00
_cell_angle_gamma 120.00
_space_group_name_H-M_alt 'R 3 m'
_space_group_IT_number 160
_space_group_name_Hall 'R 3 -2"'
loop_
_atom_site_label
_atom_site_fract_x
_atom_site_fract_y
_atom_site_fract_z
Tb1 0.0000 0.0000 0.0000
Er1 0.0000 0.0000 0.7932
P1 0.0000 0.0000 0.4001
I1 0.0000 0.0000 0.2281
```

Formation energy (no corrections)   -5.17 eV/f.u.
Size of the total moment   0.000 μB/cell



| no. | final energy (eV per atom) |
| --- | --- |
| 1 | -4.08 |
| 2 | -5.02 |
| 3 | -4.69 |
| 4 | -4.41 |
| 5 | -4.67 |
| 6 | -5.33 |